No. 1
Computed, not measured: a geometry-optimized Tm4IrPd2 structure at the PBE level of DFT.

a b c (Å): 4.8216 4.8216 8.4143
angles (deg): 73.35 73.35 60.00
Last column: nearest neighbours and their distance in Å.
Atoms (fractional coordinates):
Tm 0.8772 0.8772 0.3684  1 Ir 2.92, 4 Pd 2.93-3.01
Tm 0.1228 0.1228 0.6316  1 Ir 2.92, 4 Pd 2.93-3.01
Tm 0.6266 0.6266 0.1202  3 Ir 2.94, 4 Pd 2.96-2.98
Tm 0.3734 0.3734 0.8798  3 Ir 2.94, 4 Pd 2.96-2.98
Ir 0.0000 0.0000 0.0000  8 Tm 2.92-2.94
Pd 0.7510 0.7510 0.7471  8 Tm 2.93-3.01
Pd 0.2490 0.2490 0.2529  8 Tm 2.93-3.01

Output
Calculated density: 11.23 Mg/m³
Energy relative to the lowest polymorph listed for this composition: 0.0093 eV per atom
Energy of formation from the pure elements: -0.819 eV per atom
V: 160 Å³ per cell

***

No. 2
Computed, not measured: a geometry-optimized K3Pm3PuO8 structure at the PBE level of DFT.

a b c (Å): 7.1628 7.1628 7.5758
angles (deg): 118.22 90.00 120.00
Last column: nearest neighbours and their distance in Å.
Atoms (fractional coordinates):
K 0.0000 0.0000 0.0000  6 O 2.87
K 0.0000 0.5000 0.0000  6 O 2.87
K 0.5000 0.5000 0.0000  6 O 2.87
Pm 0.5000 0.0000 0.5000  6 O 2.38-2.41
Pm 0.5000 0.5000 0.5000  6 O 2.38-2.41
Pm 0.0000 0.5000 0.5000  6 O 2.38-2.41
Pu 0.0000 0.0000 0.5000  6 O 2.25
O 0.2714 0.5428 0.3142  3 Pm 2.38
O 0.7286 0.4572 0.6858  3 Pm 2.38
O 0.7839 0.5678 0.3232  1 Pu 2.25, 2 Pm 2.41
O 0.2161 0.4322 0.6768  1 Pu 2.25, 2 Pm 2.41
O 0.7839 0.0393 0.3232  1 Pu 2.25, 2 Pm 2.41
O 0.2161 0.9607 0.6768  1 Pu 2.25, 2 Pm 2.41
O 0.2554 0.0393 0.3232  1 Pu 2.25, 2 Pm 2.41
O 0.7446 0.9607 0.6768  1 Pu 2.25, 2 Pm 2.41

Output
Calculated density: 5.44 Mg/m³
Uncorrected formation energy: -2.72 eV per atom
V: 282 Å³ per cell

***

No. 3
Computed, not measured: a geometry-optimized Cs2CdPbF6 structure at the PBE level of DFT.

a b c (Å): 6.6784 6.6784 6.6796
angles (deg): 60.01 60.01 90.00
Last column: nearest neighbours and their distance in Å.
Atoms (fractional coordinates):
Pb 0.0000 0.0000 0.0000  6 F 2.45
Cs 0.7500 0.2500 0.5000  12 F 3.34
Cs 0.2500 0.7500 0.5000  12 F 3.34
F 0.2593 0.2593 0.4814  1 Cd 2.27, 1 Pb 2.45
F 0.7407 0.7407 0.5186  1 Cd 2.27, 1 Pb 2.45
F 0.2593 0.2593 0.0000  1 Cd 2.27, 1 Pb 2.45
F 0.7407 0.7407 0.0000  1 Cd 2.27, 1 Pb 2.45
F 0.7407 0.2593 0.0000  1 Cd 2.27, 1 Pb 2.45
F 0.2593 0.7407 0.0000  1 Cd 2.27, 1 Pb 2.45
Cd 0.5000 0.5000 0.0000  6 F 2.27

Output
Calculated density: 5.51 Mg/m³
Uncorrected formation energy: -2.50 eV per atom
V: 211 Å³ per cell

***

No. 4
Computed, not measured: a geometry-optimized MgSeCl structure at the PBE level of DFT.

a b c (Å): 4.7479 4.7479 4.7479
angles (deg): 60.00 60.00 60.00
Last column: nearest neighbours and their distance in Å.
Atoms (fractional coordinates):
Cl 0.0000 0.0000 0.0000  4 Se 2.91
Mg 0.5000 0.5000 0.5000  4 Se 2.91
Se 0.7500 0.7500 0.7500  4 Cl 2.91, 4 Mg 2.91

Output
Calculated density: 3.04 Mg/m³
Uncorrected formation energy: -0.31 eV per atom
V: 76 Å³ per cell

***

No. 5
Computed, not measured: a geometry-optimized TaAu structure at the PBE level of DFT.

a b c (Å): 5.6921 5.6921 5.6921
angles (deg): 149.64 127.82 61.58
Last column: nearest neighbours and their distance in Å.
Atoms (fractional coordinates):
Au 0.3726 0.6226 0.2500  6 Ta 2.88-2.91, 4 Au 2.90-2.98
Au 0.6274 0.3774 0.7500  6 Ta 2.88-2.91, 4 Au 2.90-2.98
Ta 0.8789 0.1289 0.2500  4 Ta 2.80-2.98, 6 Au 2.88-2.91
Ta 0.1211 0.8711 0.7500  4 Ta 2.80-2.98, 6 Au 2.88-2.91

Output
Calculated density: 17.19 Mg/m³
Energy of formation from the pure elements: 0.079 eV per atom
V: 73 Å³ per cell

***

No. 6
Computed, not measured: a geometry-optimized Pr2Zn2SnPd5 structure at the PBE level of DFT.

a b c (Å): 3.8326 9.9858 9.9858
angles (deg): 90.00 90.00 90.00
Last column: nearest neighbours and their distance in Å.
Atoms (fractional coordinates):
Pr 0.0000 0.6788 0.1788  3 Zn 2.87-3.02, 6 Pd 3.17-3.21
Pr 0.0000 0.3212 0.8212  3 Zn 2.87-3.02, 6 Pd 3.17-3.21
Pr 0.0000 0.1788 0.3212  3 Zn 2.87-3.02, 6 Pd 3.17-3.21
Pr 0.0000 0.8212 0.6788  3 Zn 2.87-3.02, 6 Pd 3.17-3.21
Zn 0.0000 0.1177 0.6177  6 Pd 2.54-2.63
Zn 0.0000 0.8823 0.3823  6 Pd 2.54-2.63
Zn 0.0000 0.6177 0.8823  6 Pd 2.54-2.63
Zn 0.0000 0.3823 0.1177  6 Pd 2.54-2.63
Sn 0.0000 0.0000 0.0000  8 Pd 2.92
Sn 0.0000 0.5000 0.5000  8 Pd 2.92
Pd 0.5000 0.2105 0.0648  2 Zn 2.63, 2 Sn 2.92
Pd 0.5000 0.7895 0.9352  2 Zn 2.63, 2 Sn 2.92
Pd 0.5000 0.0648 0.7895  2 Zn 2.63, 2 Sn 2.92
Pd 0.5000 0.7105 0.4352  2 Zn 2.63, 2 Sn 2.92
Pd 0.5000 0.9352 0.2105  2 Zn 2.63, 2 Sn 2.92
Pd 0.5000 0.2895 0.5648  2 Zn 2.63, 2 Sn 2.92
Pd 0.5000 0.5648 0.7105  2 Zn 2.63, 2 Sn 2.92
Pd 0.5000 0.4352 0.2895  2 Zn 2.63, 2 Sn 2.92
Pd 0.5000 0.5000 0.0000  4 Zn 2.54
Pd 0.5000 0.0000 0.5000  4 Zn 2.54

Output
Calculated density: 9.24 Mg/m³
Energy of formation from the pure elements: -0.671 eV per atom
V: 382 Å³ per cell

***

No. 7
Computed, not measured: a geometry-optimized Al5AgRh4 structure at the PBE level of DFT.

a b c (Å): 3.0022 3.0022 15.6624
angles (deg): 90.00 90.00 90.00
Last column: nearest neighbours and their distance in Å.
Atoms (fractional coordinates):
Al 0.5000 0.5000 0.1157  4 Rh 2.58, 4 Ag 2.79
Al 0.5000 0.5000 0.3069  8 Rh 2.61
Al 0.5000 0.5000 0.5000  8 Rh 2.60
Al 0.5000 0.5000 0.6931  8 Rh 2.61
Al 0.5000 0.5000 0.8843  4 Rh 2.58, 4 Ag 2.79
Ag 0.0000 0.0000 0.0000  8 Al 2.79, 4 Ag 3.00
Rh 0.0000 0.0000 0.2099  8 Al 2.58-2.61
Rh 0.0000 0.0000 0.4038  8 Al 2.60-2.61
Rh 0.0000 0.0000 0.5962  8 Al 2.60-2.61
Rh 0.0000 0.0000 0.7901  8 Al 2.58-2.61

Output
Calculated density: 7.70 Mg/m³
Energy of formation from the pure elements: -0.874 eV per atom
V: 141 Å³ per cell

***

No. 8
Computed, not measured: a geometry-optimized ScMoRh6 structure at the PBE level of DFT.

a b c (Å): 3.8791 5.5176 5.5176
angles (deg): 90.01 90.00 90.00
Last column: nearest neighbours and their distance in Å.
Atoms (fractional coordinates):
Sc 0.5000 0.5000 0.5000  12 Rh 2.76-2.79
Mo 0.5000 0.0000 0.0000  12 Rh 2.71-2.76
Rh 0.0000 0.7574 0.2426  8 Rh 2.68-2.84, 2 Mo 2.71, 2 Sc 2.79
Rh 0.0000 0.2426 0.7574  8 Rh 2.68-2.84, 2 Mo 2.71, 2 Sc 2.79
Rh 0.0000 0.7573 0.7573  8 Rh 2.68-2.84, 2 Mo 2.71, 2 Sc 2.79
Rh 0.0000 0.2427 0.2427  8 Rh 2.68-2.84, 2 Mo 2.71, 2 Sc 2.79
Rh 0.5000 0.5000 0.0000  8 Rh 2.75, 2 Mo 2.76, 2 Sc 2.76
Rh 0.5000 0.0000 0.5000  8 Rh 2.75, 2 Sc 2.76, 2 Mo 2.76

Output
Calculated density: 10.66 Mg/m³
Energy of formation from the pure elements: -0.456 eV per atom
V: 118 Å³ per cell

***

No. 9
Computed, not measured: a geometry-optimized ZnCuIr2 structure at the PBE level of DFT.

a b c (Å): 4.4028 2.7123 4.7261
angles (deg): 88.11 90.00 90.00
Last column: nearest neighbours and their distance in Å.
Atoms (fractional coordinates):
Cu 0.5000 0.7500 0.7500  4 Ir 2.59, 4 Zn 2.69-2.76, 2 Cu 2.71
Ir 0.0000 0.9985 0.9960  2 Cu 2.59, 2 Zn 2.61, 6 Ir 2.66-2.80
Ir 0.0000 0.5015 0.5040  2 Cu 2.59, 2 Zn 2.61, 6 Ir 2.66-2.80
Zn 0.5000 0.2500 0.2500  4 Ir 2.61, 4 Cu 2.69-2.76, 2 Zn 2.71

Output
Calculated density: 15.11 Mg/m³
Energy of formation from the pure elements: 0.041 eV per atom
V: 56 Å³ per cell

***

No. 10
Computed, not measured: a geometry-optimized SiAsP structure at the PBE level of DFT.

a b c (Å): 4.2619 4.2619 4.2619
angles (deg): 60.00 60.00 60.00
Last column: nearest neighbours and their distance in Å.
Atoms (fractional coordinates):
As 0.0000 0.0000 0.0000  4 Si 2.61
P 0.5000 0.5000 0.5000  4 Si 2.61
Si 0.7500 0.7500 0.7500  4 As 2.61, 4 P 2.61

Output
Calculated density: 4.06 Mg/m³
Uncorrected formation energy: 0.54 eV per atom
Energy relative to the lowest polymorph listed for this composition: 0.4871 eV per atom
V: 55 Å³ per cell

***

No. 11
Computed, not measured: a geometry-optimized ZrTeN2O structure at the PBE level of DFT.

a b c (Å): 4.1138 4.1138 3.9873
angles (deg): 90.00 90.00 90.00
Last column: nearest neighbours and their distance in Å.
Atoms (fractional coordinates):
Te 0.0000 0.0000 0.0000  2 O 1.99, 4 N 2.06
O 0.0000 0.0000 0.5000  2 Te 1.99
Zr 0.5000 0.5000 0.5000  8 N 2.86, 4 O 2.91
N 0.0000 0.5000 0.0000  2 Te 2.06
N 0.5000 0.0000 0.0000  2 Te 2.06

Output
Calculated density: 6.47 Mg/m³
Uncorrected formation energy: 0.36 eV per atom
V: 67 Å³ per cell

***

No. 12
Computed, not measured: a geometry-optimized Ti2GaSiSe structure at the PBE level of DFT.

a b c (Å): 4.8527 4.4720 4.8527
angles (deg): 90.00 90.00 90.00
Last column: nearest neighbours and their distance in Å.
Atoms (fractional coordinates):
Si 0.0000 0.0000 0.0000  2 Ga 2.24, 4 Ti 2.43
Ga 0.0000 0.5000 0.0000  2 Si 2.24
Se 0.5000 0.5000 0.5000  8 Ti 3.30, 4 Ga 3.43
Ti 0.0000 0.0000 0.5000  2 Si 2.43
Ti 0.5000 0.0000 0.0000  2 Si 2.43

Output
Calculated density: 4.30 Mg/m³
Uncorrected formation energy: 0.28 eV per atom
V: 105 Å³ per cell